1.
A relaxed KLa2Cu2 crystal. Source: Alexandria via LeMat-Bulk, functional PBE-GGA.

## Properties
final energy: -0.271 Ry per atom
size of the total moment: 0.00 μB per cell

Unit cell a=8.850 b=8.850 c=3.524 alpha=90.00 beta=90.00 gamma=90.00
Space group P4/mbm (No. 127)
Symmetry-distinct sites (fractional):
1 K 0.000 0.000 0.000 x2
2 La 0.133 0.367 0.000 x4
3 Cu 0.153 0.653 0.500 x4

=====

2.
A relaxed Tb5YZn4 crystal. Source: Alexandria via LeMat-Bulk, functional PBE-GGA.

## Properties
final energy: -0.275 Ry per atom
size of the total moment: 0.00 μB per cell

Unit cell a=3.585 b=3.585 c=19.388 alpha=90.00 beta=90.00 gamma=90.00
Space group P4/mmm (No. 123)
Symmetry-distinct sites (fractional):
1 Tb 0.000 0.000 0.000 x1
2 Tb 0.000 0.000 0.184 x2
3 Tb 0.000 0.000 0.367 x2
4 Y 0.500 0.500 0.500 x1
5 Zn 0.500 0.500 0.093 x2
6 Zn 0.500 0.500 0.276 x2

=====

3.
A relaxed V7Cr2Fe3 crystal. Source: Alexandria via LeMat-Bulk, functional PBE-GGA.

## Properties
final energy: -0.653 Ry per atom
size of the total moment: 3.89 μB per cell

Unit cell a=4.178 b=25.886 c=2.807 alpha=90.00 beta=90.00 gamma=90.00
Space group Cmmm (No. 65)
Symmetry-distinct sites (fractional):
1 V 0.000 0.000 0.000 x2
2 V 0.000 0.082 0.500 x4
3 V 0.000 0.272 0.000 x4
4 V 0.000 0.421 0.000 x4
5 Cr 0.000 0.166 0.000 x4
6 Fe 0.000 0.346 0.500 x4
7 Fe 0.000 0.500 0.500 x2